1.
This record from Alexandria describes crystalline La2ReMo at its relaxed geometry. The functional is GGA-PBE.

Summary:
The value obtained for the formation energy is 190 kJ/mol of formula units. Its crystal system is orthorhombic. Its total energy is -7.79 eV per atom.

abc: 3.335 4.327 6.182
angles: 90.00 90.00 90.00
Space group Pmm2 (No. 25)
Unique sites:
La 0.000 0.000 0.000 (multiplicity 1)
La 0.500 0.500 0.307 (multiplicity 1)
Re 0.500 0.500 0.726 (multiplicity 1)
Mo 0.000 0.000 0.591 (multiplicity 1)

***

2.
This record from Alexandria describes crystalline Ca2YRh at its relaxed geometry. The functional is GGA-PBE.

Summary:
The value obtained for the formation energy is -47 kJ/mol of formula units. Its crystal system is orthorhombic. Its total energy is -4.58 eV per atom.

abc: 4.880 4.898 9.356
angles: 90.00 90.00 90.00
Space group Cmmm (No. 65)
Unique sites:
Ca 0.000 0.000 0.180 (multiplicity 4)
Y 0.000 0.500 0.500 (multiplicity 2)
Rh 0.000 0.500 0.000 (multiplicity 2)

***

3.
This record from Alexandria describes crystalline FeNiAu at its relaxed geometry. The functional is GGA-PBE.

Summary:
The value obtained for the formation energy is 32 kJ/mol of formula units. Its crystal system is orthorhombic. Its total energy is -5.73 eV per atom.

abc: 4.877 4.914 6.851
angles: 90.00 90.00 90.00
Space group Imma (No. 74)
Unique sites:
Fe 0.250 0.250 0.250 (multiplicity 4)
Ni 0.000 0.000 0.000 (multiplicity 4)
Au 0.000 0.250 0.622 (multiplicity 4)

***

4.
This record from Alexandria describes crystalline YTh2Ni at its relaxed geometry. The functional is GGA-PBE.

Summary:
The value obtained for the formation energy is -85 kJ/mol of formula units. Its crystal system is monoclinic. Its total energy is -6.99 eV per atom.

abc: 3.672 9.967 6.151
angles: 90.00 107.34 90.00
Space group P2_1/m (No. 11)
Unique sites:
Y 0.088 0.250 0.177 (multiplicity 2)
Th 0.364 0.059 0.727 (multiplicity 4)
Ni 0.215 0.750 0.428 (multiplicity 2)

***

no.,E above lowest polymorph (meV per atom)
1,313.5
2,222.8
3,51.4
4,0.0